20
Lattice="8.0804 0.0000 0.0000 0.0000 8.1382 0.0000 0.0000 0.0000 4.1449" Properties=species:S:1:pos:R:3 comment="CuNi5Pd4 | Alexandria via LeMat-Bulk | PBE-GGA | optimized geometry" ef_ev_per_atom=0.1728 energy_ev_per_atom=-5.20 spacegroup="Pmmn (59)" de_polymorph_mev_per_atom=33 pbc="T T T"
Cu 2.0201 2.0345 1.0347
Cu 6.0603 6.1036 3.1102
Ni 0.5957 4.2950 1.0354
Ni 0.5957 7.9122 1.0354
Ni 2.0201 6.1036 1.0232
Ni 3.4445 4.2950 1.0354
Ni 3.4445 7.9122 1.0354
Ni 4.6359 0.2259 3.1095
Ni 4.6359 3.8431 3.1095
Ni 6.0603 2.0345 3.1217
Ni 7.4848 0.2259 3.1095
Ni 7.4848 3.8431 3.1095
Pd 0.5697 6.1036 3.0986
Pd 2.0201 0.4806 3.1078
Pd 2.0201 3.5885 3.1078
Pd 3.4705 6.1036 3.0986
Pd 4.6099 2.0345 1.0462
Pd 6.0603 4.5497 1.0371
Pd 6.0603 7.6576 1.0371
Pd 7.5107 2.0345 1.0462